The following is a DFT calculation (PBE-GGA) of Ho8Co2Bi after structural relaxation.

abc: 8.524 13.046 5.433
angles: 90.00 103.00 90.00
Space group C2/m (No. 12)
Symmetry-distinct sites (fractional):
Ho 0.000 0.248 0.000 [4 per cell]
Ho 0.102 0.000 0.793 [4 per cell]
Ho 0.204 0.368 0.579 [8 per cell]
Co 0.000 0.195 0.500 [4 per cell]
Bi 0.000 0.500 0.000 [2 per cell]

Computed properties:
Crystal system: monoclinic
Mass density (Mg/m³): 9.3
E (eV/cell): -113.5

The following is a DFT calculation (PBE-GGA) of Pr4GeRuBr2 after structural relaxation.

abc: 7.560 4.195 7.993
angles: 90.00 107.02 90.00
Space group P2/m (No. 10)
Symmetry-distinct sites (fractional):
Pr 0.226 0.000 0.202 [2 per cell]
Pr 0.243 0.500 0.803 [2 per cell]
Ge 0.500 0.000 0.000 [1 per cell]
Ru 0.000 0.500 0.000 [1 per cell]
Br 0.000 0.000 0.500 [1 per cell]
Br 0.500 0.500 0.500 [1 per cell]

Computed properties:
Crystal system: monoclinic
Mass density (Mg/m³): 6.1
Formation energy from raw total energies (eV/atom): -0.950